# BaAu11, optimized geometry, DFT GGA-PBE
data_BaAu11
_chemical_formula_sum 'Ba4 Au44'
_symmetry_space_group_name_H-M 'I 41/a m d'
_symmetry_Int_Tables_number 141
_cell_length_a 11.492
_cell_length_b 11.492
_cell_length_c 7.582
_cell_angle_alpha 90.00
_cell_angle_beta 90.00
_cell_angle_gamma 90.00
loop_
_symmetry_equiv_pos_as_xyz
'x,y,z'
'-x,-y,-z'
'-y+1/4,x+3/4,z+1/4'
'y+1/4,-x+3/4,-z+1/4'
'-x+1/2,-y,z+1/2'
'x+1/2,y,-z+1/2'
'y+1/4,-x+1/4,z+3/4'
'-y+1/4,x+1/4,-z+3/4'
'x,-y,-z'
'-x,y,z'
'-y+1/4,-x+1/4,-z+3/4'
'y+1/4,x+1/4,z+3/4'
'-x+1/2,y,-z+1/2'
'x+1/2,-y,z+1/2'
'y+1/4,x+3/4,-z+1/4'
'-y+1/4,-x+3/4,z+1/4'
'x+1/2,y+1/2,z+1/2'
'-x+1/2,-y+1/2,-z+1/2'
'-y+3/4,x+1/4,z+3/4'
'y+3/4,-x+1/4,-z+3/4'
'-x,-y+1/2,z'
'x,y+1/2,-z'
'y+3/4,-x+3/4,z+1/4'
'-y+3/4,x+3/4,-z+1/4'
'x+1/2,-y+1/2,-z+1/2'
'-x+1/2,y+1/2,z+1/2'
'-y+3/4,-x+3/4,-z+1/4'
'y+3/4,x+3/4,z+1/4'
'-x,y+1/2,-z'
'x,-y+1/2,z'
'y+3/4,x+1/4,-z+3/4'
'-y+3/4,-x+1/4,z+3/4'
loop_
_atom_site_label
_atom_site_type_symbol
_atom_site_fract_x
_atom_site_fract_y
_atom_site_fract_z
_atom_site_occupancy
Ba1 Ba 0.000 0.250 0.375 1
Au1 Au 0.000 0.000 0.000 1
Au2 Au 0.000 0.250 0.875 1
Au3 Au 0.120 0.041 0.680 1
# * N(E_F): 19.0 states/eV/cell
# * raw total energy: -3.37 eV/atom


# BaAu5, optimized geometry, DFT GGA-PBE
data_BaAu5
_chemical_formula_sum 'Ba1 Au5'
_symmetry_space_group_name_H-M 'P 6/m m m'
_symmetry_Int_Tables_number 191
_symmetry_space_group_name_Hall '-P 6 2'
_cell_length_a 5.9344
_cell_length_b 5.9344
_cell_length_c 4.5386
_cell_angle_alpha 90.00
_cell_angle_beta 90.00
_cell_angle_gamma 120.00
loop_
_atom_site_label
_atom_site_type_symbol
_atom_site_fract_x
_atom_site_fract_y
_atom_site_fract_z
_atom_site_occupancy
Ba1 Ba 0.0000 0.0000 0.0000 1
Au1 Au 0.0000 0.5000 0.5000 1
Au2 Au 0.3333 0.6667 0.0000 1
# * N(E_F): 2.9 states/eV/cell
# * raw total energy: -3.49 eV/atom


# Ba8Au3, optimized geometry, DFT GGA-PBE
data_Ba8Au3
_chemical_formula_sum 'Ba24 Au9'
_symmetry_space_group_name_H-M 'R -3'
_symmetry_Int_Tables_number 148
_symmetry_space_group_name_Hall '-R 3'
_cell_length_a 11.5824
_cell_length_b 11.5824
_cell_length_c 14.1897
_cell_angle_alpha 90.00
_cell_angle_beta 90.00
_cell_angle_gamma 120.00
loop_
_atom_site_label
_atom_site_type_symbol
_atom_site_fract_x
_atom_site_fract_y
_atom_site_fract_z
_atom_site_occupancy
Ba1 Ba 0.0000 0.0000 0.1587 1
Ba2 Ba 0.0460 0.2771 0.6142 1
Au1 Au 0.0000 0.5000 0.5000 1
# * N(E_F): 35.7 states/eV/cell
# * raw total energy: -2.69 eV/atom


# BaAu8, optimized geometry, DFT GGA-PBE
data_BaAu8
_chemical_formula_sum 'Ba2 Au16'
_symmetry_space_group_name_H-M 'I 4/m m m'
_symmetry_Int_Tables_number 139
_symmetry_space_group_name_Hall '-I 4 2'
_cell_length_a 9.207
_cell_length_b 9.207
_cell_length_c 4.474
_cell_angle_alpha 90.00
_cell_angle_beta 90.00
_cell_angle_gamma 90.00
loop_
_atom_site_label
_atom_site_type_symbol
_atom_site_fract_x
_atom_site_fract_y
_atom_site_fract_z
_atom_site_occupancy
Ba1 Ba 0.000 0.000 0.000 1
Au1 Au 0.000 0.345 0.000 1
Au2 Au 0.183 0.183 0.500 1
# * N(E_F): 5.6 states/eV/cell
# * raw total energy: -3.18 eV/atom


# BaAu4, optimized geometry, DFT GGA-PBE
data_BaAu4
_chemical_formula_sum 'Ba1 Au4'
_symmetry_space_group_name_H-M 'P m -3 m'
_symmetry_Int_Tables_number 221
_symmetry_space_group_name_Hall '-P 4 2 3'
_cell_length_a 6.015
_cell_length_b 6.015
_cell_length_c 6.015
_cell_angle_alpha 90.00
_cell_angle_beta 90.00
_cell_angle_gamma 90.00
loop_
_atom_site_label
_atom_site_type_symbol
_atom_site_fract_x
_atom_site_fract_y
_atom_site_fract_z
_atom_site_occupancy
Ba1 Ba 0.000 0.000 0.000 1
Au1 Au 0.000 0.000 0.500 1
Au2 Au 0.500 0.500 0.500 1
# * N(E_F): 4.5 states/eV/cell
# * raw total energy: -2.08 eV/atom


# BaBe2Au, optimized geometry, DFT GGA-PBE
data_BaBe2Au
_chemical_formula_sum 'Ba1 Be2 Au1'
_symmetry_space_group_name_H-M 'P m m m'
_symmetry_Int_Tables_number 47
_cell_length_a 3.237
_cell_length_b 3.262
_cell_length_c 7.284
_cell_angle_alpha 90.00
_cell_angle_beta 90.00
_cell_angle_gamma 90.00
loop_
_symmetry_equiv_pos_as_xyz
'x,y,z'
'-x,-y,-z'
'-x,-y,z'
'x,y,-z'
'x,-y,-z'
'-x,y,z'
'-x,y,-z'
'x,-y,z'
loop_
_atom_site_label
_atom_site_type_symbol
_atom_site_fract_x
_atom_site_fract_y
_atom_site_fract_z
_atom_site_occupancy
Ba1 Ba 0.000 0.000 0.000 1
Be1 Be 0.500 0.500 0.346 1
Au1 Au 0.000 0.000 0.500 1
# * N(E_F): 1.5 states/eV/cell
# * energy above the most stable polymorph in this dataset: 432 meV per atom


# BaBe2Au, optimized geometry, DFT GGA-PBE
data_BaBe2Au
_chemical_formula_sum 'Ba4 Be8 Au4'
_symmetry_space_group_name_H-M 'F m -3 m'
_symmetry_Int_Tables_number 225
_symmetry_space_group_name_Hall '-F 4 2 3'
_cell_length_a 6.867
_cell_length_b 6.867
_cell_length_c 6.867
_cell_angle_alpha 90.00
_cell_angle_beta 90.00
_cell_angle_gamma 90.00
loop_
_atom_site_label
_atom_site_type_symbol
_atom_site_fract_x
_atom_site_fract_y
_atom_site_fract_z
_atom_site_occupancy
Ba1 Ba 0.000 0.000 0.000 1
Be1 Be 0.250 0.250 0.250 1
Au1 Au 0.000 0.000 0.500 1
# * N(E_F): 16.0 states/eV/cell
# * energy above the most stable polymorph in this dataset: 713 meV per atom


# BaBe2Au, optimized geometry, DFT GGA-PBE
data_BaBe2Au
_chemical_formula_sum 'Ba2 Be4 Au2'
_symmetry_space_group_name_H-M 'I -4 m 2'
_symmetry_Int_Tables_number 119
_symmetry_space_group_name_Hall 'I -4 -2'
_cell_length_a 5.066
_cell_length_b 5.066
_cell_length_c 7.006
_cell_angle_alpha 90.00
_cell_angle_beta 90.00
_cell_angle_gamma 90.00
loop_
_atom_site_label
_atom_site_type_symbol
_atom_site_fract_x
_atom_site_fract_y
_atom_site_fract_z
_atom_site_occupancy
Ba1 Ba 0.000 0.000 0.000 1
Be1 Be 0.000 0.000 0.500 1
Be2 Be 0.000 0.500 0.250 1
Au1 Au 0.000 0.500 0.750 1
# * N(E_F): 8.4 states/eV/cell
# * energy above the most stable polymorph in this dataset: 814 meV per atom


# BaBe3Au, optimized geometry, DFT GGA-PBE
data_BaBe3Au
_chemical_formula_sum 'Ba1 Be3 Au1'
_symmetry_space_group_name_H-M 'P m -3 m'
_symmetry_Int_Tables_number 221
_symmetry_space_group_name_Hall '-P 4 2 3'
_cell_length_a 4.570
_cell_length_b 4.570
_cell_length_c 4.570
_cell_angle_alpha 90.00
_cell_angle_beta 90.00
_cell_angle_gamma 90.00
loop_
_atom_site_label
_atom_site_type_symbol
_atom_site_fract_x
_atom_site_fract_y
_atom_site_fract_z
_atom_site_occupancy
Ba1 Ba 0.000 0.000 0.000 1
Be1 Be 0.000 0.500 0.500 1
Au1 Au 0.500 0.500 0.500 1
# * N(E_F): 2.6 states/eV/cell
# * energy above the most stable polymorph in this dataset: 0 meV per atom


# BaBeAu2, optimized geometry, DFT GGA-PBE
data_BaBeAu2
_chemical_formula_sum 'Ba4 Be4 Au8'
_symmetry_space_group_name_H-M 'I 41/a m d'
_symmetry_Int_Tables_number 141
_cell_length_a 5.382
_cell_length_b 5.382
_cell_length_c 15.233
_cell_angle_alpha 90.00
_cell_angle_beta 90.00
_cell_angle_gamma 90.00
loop_
_symmetry_equiv_pos_as_xyz
'x,y,z'
'-x,-y,-z'
'-y+1/4,x+3/4,z+1/4'
'y+1/4,-x+3/4,-z+1/4'
'-x+1/2,-y,z+1/2'
'x+1/2,y,-z+1/2'
'y+1/4,-x+1/4,z+3/4'
'-y+1/4,x+1/4,-z+3/4'
'x,-y,-z'
'-x,y,z'
'-y+1/4,-x+1/4,-z+3/4'
'y+1/4,x+1/4,z+3/4'
'-x+1/2,y,-z+1/2'
'x+1/2,-y,z+1/2'
'y+1/4,x+3/4,-z+1/4'
'-y+1/4,-x+3/4,z+1/4'
'x+1/2,y+1/2,z+1/2'
'-x+1/2,-y+1/2,-z+1/2'
'-y+3/4,x+1/4,z+3/4'
'y+3/4,-x+1/4,-z+3/4'
'-x,-y+1/2,z'
'x,y+1/2,-z'
'y+3/4,-x+3/4,z+1/4'
'-y+3/4,x+3/4,-z+1/4'
'x+1/2,-y+1/2,-z+1/2'
'-x+1/2,y+1/2,z+1/2'
'-y+3/4,-x+3/4,-z+1/4'
'y+3/4,x+3/4,z+1/4'
'-x,y+1/2,-z'
'x,-y+1/2,z'
'y+3/4,x+1/4,-z+3/4'
'-y+3/4,-x+1/4,z+3/4'
loop_
_atom_site_label
_atom_site_type_symbol
_atom_site_fract_x
_atom_site_fract_y
_atom_site_fract_z
_atom_site_occupancy
Ba1 Ba 0.000 0.250 0.375 1
Be1 Be 0.000 0.250 0.875 1
Au1 Au 0.000 0.000 0.000 1
# * N(E_F): 7.6 states/eV/cell
# * raw total energy: -3.41 eV/atom


# BaBeAu2, optimized geometry, DFT GGA-PBE
data_BaBeAu2
_chemical_formula_sum 'Ba1 Be1 Au2'
_symmetry_space_group_name_H-M 'P m m 2'
_symmetry_Int_Tables_number 25
_cell_length_a 4.563
_cell_length_b 4.877
_cell_length_c 4.765
_cell_angle_alpha 90.00
_cell_angle_beta 90.00
_cell_angle_gamma 90.00
loop_
_symmetry_equiv_pos_as_xyz
'x,y,z'
'-x,-y,z'
'-x,y,z'
'x,-y,z'
loop_
_atom_site_label
_atom_site_type_symbol
_atom_site_fract_x
_atom_site_fract_y
_atom_site_fract_z
_atom_site_occupancy
Ba1 Ba 0.000 0.000 0.000 1
Be1 Be 0.500 0.500 0.646 1
Au1 Au 0.000 0.500 0.511 1
Au2 Au 0.500 0.500 0.134 1
# * N(E_F): 1.5 states/eV/cell
# * raw total energy: -3.44 eV/atom


# BaBeAu2, optimized geometry, DFT GGA-PBE
data_BaBeAu2
_chemical_formula_sum 'Ba1 Be1 Au2'
_symmetry_space_group_name_H-M 'P 4 m m'
_symmetry_Int_Tables_number 99
_cell_length_a 3.580
_cell_length_b 3.580
_cell_length_c 7.227
_cell_angle_alpha 90.00
_cell_angle_beta 90.00
_cell_angle_gamma 90.00
loop_
_symmetry_equiv_pos_as_xyz
'x,y,z'
'-y,x,z'
'-x,-y,z'
'y,-x,z'
'-x,y,z'
'y,x,z'
'x,-y,z'
'-y,-x,z'
loop_
_atom_site_label
_atom_site_type_symbol
_atom_site_fract_x
_atom_site_fract_y
_atom_site_fract_z
_atom_site_occupancy
Ba1 Ba 0.000 0.000 0.000 1
Be1 Be 0.500 0.500 0.391 1
Au1 Au 0.000 0.000 0.444 1
Au2 Au 0.500 0.500 0.710 1
# * N(E_F): 2.0 states/eV/cell
# * raw total energy: -3.16 eV/atom


# Ba2BeAu, optimized geometry, DFT GGA-PBE
data_Ba2BeAu
_chemical_formula_sum 'Ba2 Be1 Au1'
_symmetry_space_group_name_H-M 'P 4/m m m'
_symmetry_Int_Tables_number 123
_symmetry_space_group_name_Hall '-P 4 2'
_cell_length_a 4.006
_cell_length_b 4.006
_cell_length_c 7.986
_cell_angle_alpha 90.00
_cell_angle_beta 90.00
_cell_angle_gamma 90.00
loop_
_atom_site_label
_atom_site_type_symbol
_atom_site_fract_x
_atom_site_fract_y
_atom_site_fract_z
_atom_site_occupancy
Ba1 Ba 0.000 0.000 0.246 1
Be1 Be 0.500 0.500 0.000 1
Au1 Au 0.500 0.500 0.500 1
# * N(E_F): 3.5 states/eV/cell
# * raw total energy: -2.74 eV/atom